[1]
## NdAl4Ge2Au (PBE-GGA)

Data for an optimized crystal structure of NdAl4Ge2Au.

CIF file:
```
data_NdAl4Ge2Au
_cell_length_a 10.808
_cell_length_b 10.808
_cell_length_c 10.808
_cell_angle_alpha 22.75
_cell_angle_beta 22.75
_cell_angle_gamma 22.75
_symmetry_space_group_name_H-M 'P 1'
_symmetry_Int_Tables_number 1
loop_
_symmetry_equiv_pos_as_xyz
'x,y,z'
loop_
_atom_site_label
_atom_site_fract_x
_atom_site_fract_y
_atom_site_fract_z
Nd1 0.000 0.000 0.000
Al1 0.193 0.193 0.193
Al2 0.417 0.417 0.417
Al3 0.583 0.583 0.583
Al4 0.807 0.807 0.807
Ge1 0.275 0.275 0.275
Ge2 0.725 0.725 0.725
Au1 0.500 0.500 0.500
```

VASP energy: -35.85 eV/cell
Energy of formation: -0.450 eV/atom

---

[2]
## NpAlGeAu (PBE-GGA)

Data for an optimized crystal structure of NpAlGeAu.

CIF file:
```
data_NpAlGeAu
_cell_length_a 4.841
_cell_length_b 4.841
_cell_length_c 4.841
_cell_angle_alpha 60.00
_cell_angle_beta 60.00
_cell_angle_gamma 60.00
_symmetry_space_group_name_H-M 'P 1'
_symmetry_Int_Tables_number 1
loop_
_symmetry_equiv_pos_as_xyz
'x,y,z'
loop_
_atom_site_label
_atom_site_fract_x
_atom_site_fract_y
_atom_site_fract_z
Np1 0.000 0.000 0.000
Al1 0.500 0.500 0.500
Ge1 0.750 0.750 0.750
Au1 0.250 0.250 0.250
```

VASP energy: -25.05 eV/cell
Energy of formation: -0.118 eV/atom

---

[3]
## PaAlGeAu (PBE-GGA)

Data for an optimized crystal structure of PaAlGeAu.

CIF file:
```
data_PaAlGeAu
_cell_length_a 4.867
_cell_length_b 4.867
_cell_length_c 4.867
_cell_angle_alpha 60.00
_cell_angle_beta 60.00
_cell_angle_gamma 60.00
_symmetry_space_group_name_H-M 'P 1'
_symmetry_Int_Tables_number 1
loop_
_symmetry_equiv_pos_as_xyz
'x,y,z'
loop_
_atom_site_label
_atom_site_fract_x
_atom_site_fract_y
_atom_site_fract_z
Pa1 0.000 0.000 0.000
Al1 0.500 0.500 0.500
Ge1 0.250 0.250 0.250
Au1 0.750 0.750 0.750
```

VASP energy: -22.19 eV/cell
Energy of formation: -0.263 eV/atom

---

[4]
## Pm2AlGeAu6 (PBE-GGA)

Data for an optimized crystal structure of Pm2AlGeAu6.

CIF file:
```
data_Pm2AlGeAu6
_cell_length_a 5.463
_cell_length_b 6.651
_cell_length_c 6.799
_cell_angle_alpha 81.65
_cell_angle_beta 68.00
_cell_angle_gamma 71.90
_symmetry_space_group_name_H-M 'P 1'
_symmetry_Int_Tables_number 1
loop_
_symmetry_equiv_pos_as_xyz
'x,y,z'
loop_
_atom_site_label
_atom_site_fract_x
_atom_site_fract_y
_atom_site_fract_z
Pm1 0.008 0.273 0.247
Pm2 0.992 0.727 0.753
Al1 0.500 0.000 0.500
Ge1 0.500 0.500 0.000
Au1 0.008 0.242 0.705
Au2 0.356 0.913 0.902
Au3 0.495 0.328 0.670
Au4 0.505 0.672 0.330
Au5 0.644 0.087 0.098
Au6 0.992 0.758 0.295
```

VASP energy: -42.53 eV/cell
Energy of formation: -0.500 eV/atom